# Rb3Mn5F12

A relaxed Rb3Mn5F12 crystal (PBE with a Hubbard U, the Alexandria database).

abc: 14.248 14.248 14.248
angles: 90.00 90.00 90.00
Space group Ia-3d (No. 230)
Unique sites:
Rb  0.000  0.250  0.125 x24
Mn  0.000  0.000  0.000 x16
Mn  0.000  0.250  0.375 x24
F  0.036  0.043  0.643 x96

---

# Rb3Mn2F9

A relaxed Rb3Mn2F9 crystal (PBE with a Hubbard U, the Alexandria database).

abc: 5.9684 5.9684 7.6954
angles: 90.00 90.00 120.00
Space group P-3m1 (No. 164)
Unique sites:
Rb  0.0000  0.0000  0.0000 x1
Rb  0.3333  0.6667  0.3717 x2
Mn  0.3333  0.6667  0.8507 x2
F  0.0000  0.5000  0.0000 x3
F  0.1811  0.3622  0.7102 x6

---

# RbMnF6

A relaxed RbMnF6 crystal (PBE with a Hubbard U, the Alexandria database).

abc: 9.251 9.251 9.251
angles: 90.00 90.00 90.00
Space group Fm-3m (No. 225)
Unique sites:
Rb  0.000  0.000  0.000 x4
Mn  0.000  0.000  0.500 x4
F  0.000  0.000  0.302 x24

---

# Rb2MnF6

A relaxed Rb2MnF6 crystal (PBE with a Hubbard U, the Alexandria database).

abc: 6.0543 6.0543 9.8692
angles: 90.00 90.00 120.00
Space group P6_3mc (No. 186)
Unique sites:
Rb  0.0000  0.0000  0.0000 x2
Rb  0.3333  0.6667  0.2744 x2
Mn  0.3333  0.6667  0.6580 x2
F  0.0471  0.5235  0.5482 x6
F  0.1862  0.3724  0.7622 x6

---

# RbMn4F8

A relaxed RbMn4F8 crystal (PBE with a Hubbard U, the Alexandria database).

abc: 6.4035 6.4035 14.3990
angles: 90.00 90.00 120.00
Space group P6_3/mmc (No. 194)
Unique sites:
Rb  0.0000  0.0000  0.0000 x2
Mn  0.0000  0.0000  0.2500 x2
Mn  0.0013  0.5006  0.2500 x6
F  0.1620  0.3239  0.1629 x12
F  0.3333  0.6667  0.6645 x4

---

# Rb2MnF4

A relaxed Rb2MnF4 crystal (PBE with a Hubbard U, the Alexandria database).

abc: 4.306 4.306 14.061
angles: 90.00 90.00 90.00
Space group I4/mmm (No. 139)
Unique sites:
Rb  0.000  0.000  0.147 x4
Mn  0.000  0.000  0.500 x2
F  0.000  0.000  0.347 x4
F  0.000  0.500  0.000 x4

---

# Rb2MnF

A relaxed Rb2MnF crystal (PBE with a Hubbard U, the Alexandria database).

abc: 8.398 8.398 10.175
angles: 90.00 90.00 90.00
Space group I-42d (No. 122)
Unique sites:
Rb  0.123  0.250  0.125 x8
Mn  0.000  0.000  0.500 x4
F  0.000  0.000  0.000 x4

Computed properties:
polymorph energy (0 for the lowest one)	0	meV/atom

---

# RbMn2F4

A relaxed RbMn2F4 crystal (PBE with a Hubbard U, the Alexandria database).

abc: 3.650 10.991 11.380
angles: 90.00 90.00 90.00
Space group Cmcm (No. 63)
Unique sites:
Rb  0.000  0.114  0.250 x4
Mn  0.000  0.374  0.062 x8
F  0.000  0.000  0.000 x4
F  0.000  0.249  0.592 x8
F  0.000  0.410  0.250 x4

---

So what do the calculations give for E_tot? Going down the list: -5.68 -5.09 -4.52 -4.90 -5.86 -5.16 -3.58 -5.58 eV/atom.